# 1
Computed, not measured: a geometry-optimized NaCu3Rh structure at the PBE level of DFT.

a = 4.7114 Å, b = 4.7114 Å, c = 4.7114 Å
α = 90.00°, β = 90.00°, γ = 90.00°
Last column: nearest neighbours and their distance in Å.
Sites, in units of the cell vectors:
Na (0.0000, 0.0000, 0.0000)  12 Cu 3.33
Cu (0.0000, 0.5000, 0.5000)  2 Rh 2.36
Cu (0.5000, 0.0000, 0.5000)  2 Rh 2.36
Cu (0.5000, 0.5000, 0.0000)  2 Rh 2.36
Rh (0.5000, 0.5000, 0.5000)  6 Cu 2.36

- E above lowest polymorph: 0.00 eV per formula unit
- SG: Pm-3m
- Energy of formation: 0.68 eV/atom
- N(E_F): 1.18 states/eV per atom
- Total moment: 0.00 Bohr magnetons per cell


# 2
Computed, not measured: a geometry-optimized NaCu4Rh structure at the PBE level of DFT.

a = 4.8975 Å, b = 4.8975 Å, c = 4.8975 Å
α = 60.00°, β = 60.00°, γ = 60.00°
Last column: nearest neighbours and their distance in Å.
Sites, in units of the cell vectors:
Na (0.0000, 0.0000, 0.0000)  12 Cu 2.87, 4 Rh 3.00
Cu (0.1260, 0.6247, 0.6247)  6 Cu 2.44-2.46
Cu (0.6247, 0.1260, 0.6247)  6 Cu 2.44-2.46
Cu (0.6247, 0.6247, 0.1260)  6 Cu 2.44-2.46
Cu (0.6247, 0.6247, 0.6247)  6 Cu 2.44-2.46
Rh (0.2500, 0.2500, 0.2500)  12 Cu 2.87, 4 Na 3.00

- SG: F-43m
- Energy of formation: 0.16 eV/atom
- N(E_F): 0.63 states/eV per atom
- Total moment: 0.00 Bohr magnetons per cell


# 3
Computed, not measured: a geometry-optimized Na2Cu2RhS4 structure at the PBE level of DFT.

a = 7.1913 Å, b = 7.1913 Å, c = 6.8362 Å
α = 113.00°, β = 113.00°, γ = 29.89°
Last column: nearest neighbours and their distance in Å.
Sites, in units of the cell vectors:
Na (0.1344, 0.1344, 0.0468)  5 S 2.89-2.99, 1 Cu 3.18
Na (0.8656, 0.8656, 0.9532)  5 S 2.89-2.99, 1 Cu 3.18
Cu (0.3142, 0.3142, 0.5184)  4 S 2.29-2.39, 2 Cu 2.51
Cu (0.6858, 0.6858, 0.4816)  4 S 2.29-2.39, 2 Cu 2.51
Rh (0.0000, 0.0000, 0.5000)  6 S 2.46
S (0.1931, 0.1931, 0.6870)  3 Cu 2.30-2.39, 1 Rh 2.46
S (0.4909, 0.4909, 0.7274)  1 Cu 2.29, 2 Rh 2.46
S (0.5091, 0.5091, 0.2726)  1 Cu 2.29, 2 Rh 2.46
S (0.8069, 0.8069, 0.3130)  3 Cu 2.30-2.39, 1 Rh 2.46

- SG: C2/m
- E_form (uncorrected): -12.6 kcal/mol of atoms
- N(E_F): 0.81 states/eV per atom
- Total moment: 0.00 Bohr magnetons per cell


# 4
Computed, not measured: a geometry-optimized NaCuRhS3 structure at the PBE level of DFT.

a = 7.5405 Å, b = 3.6574 Å, c = 8.4740 Å
α = 90.00°, β = 107.22°, γ = 90.00°
Last column: nearest neighbours and their distance in Å.
Sites, in units of the cell vectors:
Na (0.2186, 0.2500, 0.2496)  7 S 2.94-3.08
Na (0.7814, 0.7500, 0.7504)  7 S 2.94-3.08
Cu (0.0799, 0.2500, 0.6018)  4 S 2.25-2.33
Cu (0.9201, 0.7500, 0.3982)  4 S 2.25-2.33
Rh (0.3233, 0.7500, 0.8490)  6 S 2.37-2.49
Rh (0.6767, 0.2500, 0.1510)  6 S 2.37-2.49
S (0.1235, 0.2500, 0.8765)  1 Cu 2.25, 2 Rh 2.42
S (0.2362, 0.7500, 0.5413)  3 Cu 2.31-2.33, 1 Rh 2.49
S (0.4637, 0.7500, 0.1388)  3 Rh 2.37-2.42
S (0.5363, 0.2500, 0.8612)  3 Rh 2.37-2.42
S (0.7638, 0.2500, 0.4587)  3 Cu 2.31-2.33, 1 Rh 2.49
S (0.8765, 0.7500, 0.1235)  1 Cu 2.25, 2 Rh 2.42

- SG: P2_1/m
- E_form (uncorrected): -12.1 kcal/mol of atoms
- N(E_F): 0.52 states/eV per atom
- Total moment: 0.00 Bohr magnetons per cell


# 5
Computed, not measured: a geometry-optimized Na3CuRh2S6 structure at the PBE level of DFT.

a = 6.3131 Å, b = 6.3131 Å, c = 6.6500 Å
α = 99.12°, β = 99.12°, γ = 120.04°
Last column: nearest neighbours and their distance in Å.
Sites, in units of the cell vectors:
Na (0.0000, 0.0000, 0.0000)  6 S 2.85-2.88
Na (0.3352, 0.6648, 0.0000)  6 S 2.86-2.89
Na (0.6648, 0.3352, 0.0000)  6 S 2.86-2.89
Cu (0.5000, 0.5000, 0.5000)  6 S 2.45
Rh (0.1667, 0.8333, 0.5000)  6 S 2.41
Rh (0.8333, 0.1667, 0.5000)  6 S 2.41
S (0.0976, 0.4365, 0.3097)  2 Rh 2.41, 1 Cu 2.45
S (0.2247, 0.2247, 0.6902)  2 Rh 2.41, 1 Cu 2.45
S (0.4365, 0.0976, 0.3097)  2 Rh 2.41, 1 Cu 2.45
S (0.5635, 0.9024, 0.6903)  2 Rh 2.41, 1 Cu 2.45
S (0.7753, 0.7753, 0.3098)  2 Rh 2.41, 1 Cu 2.45
S (0.9024, 0.5635, 0.6903)  2 Rh 2.41, 1 Cu 2.45

- SG: C2/m
- E_form (uncorrected): -14.2 kcal/mol of atoms
- N(E_F): 0.45 states/eV per atom
- Total moment: 1.65 Bohr magnetons per cell


# 6
Computed, not measured: a geometry-optimized Na3CuRh3S8 structure at the PBE level of DFT.

a = 7.6350 Å, b = 7.6350 Å, c = 7.6350 Å
α = 56.20°, β = 56.20°, γ = 56.20°
Last column: nearest neighbours and their distance in Å.
Sites, in units of the cell vectors:
Na (0.0000, 0.5000, 0.5000)  6 S 2.88-2.90
Na (0.5000, 0.0000, 0.5000)  6 S 2.88-2.90
Na (0.5000, 0.5000, 0.0000)  6 S 2.88-2.90
Cu (0.5000, 0.5000, 0.5000)  6 S 2.40
Rh (0.0000, 0.0000, 0.5000)  6 S 2.39-2.40
Rh (0.0000, 0.5000, 0.0000)  6 S 2.39-2.40
Rh (0.5000, 0.0000, 0.0000)  6 S 2.39-2.40
S (0.2262, 0.7296, 0.7296)  2 Rh 2.39, 1 Cu 2.40
S (0.2297, 0.2297, 0.2297)  3 Rh 2.40
S (0.2704, 0.2704, 0.7738)  2 Rh 2.39, 1 Cu 2.40
S (0.2704, 0.7738, 0.2704)  2 Rh 2.39, 1 Cu 2.40
S (0.7296, 0.2262, 0.7296)  2 Rh 2.39, 1 Cu 2.40
S (0.7296, 0.7296, 0.2262)  2 Rh 2.39, 1 Cu 2.40
S (0.7703, 0.7703, 0.7703)  3 Rh 2.40
S (0.7738, 0.2704, 0.2704)  2 Rh 2.39, 1 Cu 2.40

- SG: R-3m
- E_form (uncorrected): -13.1 kcal/mol of atoms
- N(E_F): 0.29 states/eV per atom
- Total moment: 0.00 Bohr magnetons per cell


# 7
Computed, not measured: a geometry-optimized Na4CuRh3Se8 structure at the PBE level of DFT.

a = 7.9951 Å, b = 7.9951 Å, c = 7.9951 Å
α = 57.06°, β = 57.06°, γ = 57.06°
Last column: nearest neighbours and their distance in Å.
Sites, in units of the cell vectors:
Na (0.0000, 0.0000, 0.0000)  6 Se 3.00
Na (0.0000, 0.5000, 0.5000)  6 Se 3.03-3.04
Na (0.5000, 0.0000, 0.5000)  6 Se 3.03-3.04
Na (0.5000, 0.5000, 0.0000)  6 Se 3.03-3.04
Cu (0.5000, 0.5000, 0.5000)  6 Se 2.57
Rh (0.0000, 0.0000, 0.5000)  6 Se 2.53-2.54
Rh (0.0000, 0.5000, 0.0000)  6 Se 2.53-2.54
Rh (0.5000, 0.0000, 0.0000)  6 Se 2.53-2.54
Se (0.2249, 0.7325, 0.7325)  2 Rh 2.53, 1 Cu 2.57
Se (0.2293, 0.2293, 0.2293)  3 Rh 2.54
Se (0.2675, 0.2675, 0.7751)  2 Rh 2.53, 1 Cu 2.57
Se (0.2675, 0.7751, 0.2675)  2 Rh 2.53, 1 Cu 2.57
Se (0.7325, 0.2249, 0.7325)  2 Rh 2.53, 1 Cu 2.57
Se (0.7325, 0.7325, 0.2249)  2 Rh 2.53, 1 Cu 2.57
Se (0.7707, 0.7707, 0.7707)  3 Rh 2.54
Se (0.7751, 0.2675, 0.2675)  2 Rh 2.53, 1 Cu 2.57

- SG: R-3m
- E_form (uncorrected): -13.9 kcal/mol of atoms
- N(E_F): 0.39 states/eV per atom
- Total moment: 0.00 Bohr magnetons per cell


# 8
Computed, not measured: a geometry-optimized NaCuRhSe3 structure at the PBE level of DFT.

a = 7.8423 Å, b = 3.8078 Å, c = 8.8778 Å
α = 90.00°, β = 107.60°, γ = 90.00°
Last column: nearest neighbours and their distance in Å.
Sites, in units of the cell vectors:
Na (0.2127, 0.2500, 0.2556)  7 Se 3.11-3.21
Na (0.7873, 0.7500, 0.7444)  7 Se 3.11-3.21
Cu (0.0785, 0.2500, 0.5983)  4 Se 2.40-2.46, 2 Cu 2.62
Cu (0.9215, 0.7500, 0.4017)  4 Se 2.40-2.46, 2 Cu 2.62
Rh (0.3220, 0.7500, 0.8463)  6 Se 2.50-2.59
Rh (0.6780, 0.2500, 0.1537)  6 Se 2.50-2.59
Se (0.1202, 0.2500, 0.8776)  1 Cu 2.40, 2 Rh 2.54
Se (0.2450, 0.7500, 0.5416)  3 Cu 2.45-2.46, 1 Rh 2.59
Se (0.4601, 0.7500, 0.1397)  3 Rh 2.50-2.54
Se (0.5399, 0.2500, 0.8603)  3 Rh 2.50-2.54
Se (0.7550, 0.2500, 0.4584)  3 Cu 2.45-2.46, 1 Rh 2.59
Se (0.8798, 0.7500, 0.1224)  1 Cu 2.40, 2 Rh 2.54

- SG: P2_1/m
- E_form (uncorrected): -11.6 kcal/mol of atoms
- N(E_F): 0.54 states/eV per atom
- Total moment: 0.00 Bohr magnetons per cell